## ThCr3B4O12 (GGA+U)

Data for an optimized crystal structure of ThCr3B4O12.

Space group: R32
Uncorrected energy: -0.604 Ry per atom
D(E_F): 4.72 states/eV per cell

a b c (Å): 6.1834 6.1834 6.1834
angles (deg): 103.45 103.45 103.45
Last column: nearest neighbours and their distance in Å.
Atoms (fractional coordinates):
Th 0.0000 0.0000 0.0000  6 O 2.39
Cr 0.5527 0.4473 0.0000  6 O 2.06-2.08
Cr 0.4473 0.0000 0.5527  6 O 2.06-2.08
Cr 0.0000 0.5527 0.4473  6 O 2.06-2.08
B 0.9476 0.0524 0.5000  3 O 1.38
B 0.0524 0.5000 0.9476  3 O 1.38
B 0.5000 0.9476 0.0524  3 O 1.38
B 0.5000 0.5000 0.5000  3 O 1.39
O 0.5000 0.3566 0.6434  1 B 1.39
O 0.9102 0.5000 0.0898  1 B 1.38
O 0.0898 0.9102 0.5000  1 B 1.38
O 0.5000 0.0898 0.9102  1 B 1.38
O 0.3644 0.9658 0.2008  1 B 1.38
O 0.2008 0.3644 0.9658  1 B 1.38
O 0.9658 0.2008 0.3644  1 B 1.38
O 0.6356 0.7992 0.0342  1 B 1.38
O 0.0342 0.6356 0.7992  1 B 1.38
O 0.7992 0.0342 0.6356  1 B 1.38
O 0.6434 0.5000 0.3566  1 B 1.39
O 0.3566 0.6434 0.5000  1 B 1.39